[1]
# EuErInPd

A relaxed structure of EuErInPd (GGA-PBE, Alexandria).

a = 5.2262 Å, b = 5.2262 Å, c = 5.2262 Å
α = 60.00°, β = 60.00°, γ = 60.00°
Closest atoms and distances in Å follow each position.
Positions (direct):
Eu 0.0000 0.0000 0.0000  4 In 3.20, 4 Pd 3.20
Er 0.5000 0.5000 0.5000  4 In 3.20, 4 Pd 3.20
In 0.7500 0.7500 0.7500  4 Eu 3.20, 4 Er 3.20
Pd 0.2500 0.2500 0.2500  4 Er 3.20, 4 Eu 3.20

Output
D(E_F)	8.066	states/eV per cell
space-group type	No. 216
magnetization	1.737	μB per atom
total DFT energy (no corrections)	-6.202	eV/atom


[2]
# PmNd14Sn

A relaxed structure of PmNd14Sn (GGA-PBE, Alexandria).

a = 10.2518 Å, b = 7.2840 Å, c = 7.2840 Å
α = 90.00°, β = 90.00°, γ = 90.00°
Closest atoms and distances in Å follow each position.
Positions (direct):
Pm 0.0000 0.0000 0.0000  12 Nd 3.62-3.65
Nd 0.0000 0.5006 0.9992  8 Nd 3.58-3.59, 2 Sn 3.64-3.65, 2 Pm 3.64-3.65
Nd 0.0000 0.9992 0.5006  8 Nd 3.58-3.59, 2 Sn 3.64-3.65, 2 Pm 3.64-3.65
Nd 0.2426 0.2553 0.2553  1 Sn 3.54, 10 Nd 3.56-3.73, 1 Pm 3.62
Nd 0.2430 0.2554 0.7445  1 Sn 3.54, 10 Nd 3.56-3.72, 1 Pm 3.62
Nd 0.2430 0.7445 0.2554  1 Sn 3.54, 10 Nd 3.56-3.72, 1 Pm 3.62
Nd 0.2434 0.7446 0.7446  1 Sn 3.55, 10 Nd 3.56-3.72, 1 Pm 3.63
Nd 0.5000 0.0000 0.0000  12 Nd 3.64-3.73
Nd 0.5000 0.0005 0.4996  12 Nd 3.64-3.69
Nd 0.5000 0.4996 0.0005  12 Nd 3.64-3.69
Nd 0.5000 0.5002 0.5002  12 Nd 3.64-3.65
Nd 0.7574 0.2553 0.2553  1 Sn 3.54, 10 Nd 3.56-3.73, 1 Pm 3.62
Nd 0.7570 0.2554 0.7445  1 Sn 3.54, 10 Nd 3.56-3.72, 1 Pm 3.62
Nd 0.7570 0.7445 0.2554  1 Sn 3.54, 10 Nd 3.56-3.72, 1 Pm 3.62
Nd 0.7566 0.7446 0.7446  1 Sn 3.55, 10 Nd 3.56-3.72, 1 Pm 3.63
Sn 0.0000 0.4999 0.4999  12 Nd 3.54-3.65

Output
D(E_F)	22.426	states/eV per cell
space-group type	No. 38
magnetization	0.000	μB per atom
total DFT energy (no corrections)	-4.790	eV/atom


[3]
# BeSb2As

A relaxed structure of BeSb2As (GGA-PBE, Alexandria).

a = 3.7579 Å, b = 3.9135 Å, c = 6.5381 Å
α = 90.00°, β = 90.00°, γ = 90.00°
Closest atoms and distances in Å follow each position.
Positions (direct):
Be 0.0000 0.0000 0.0000  5 Sb 2.63-2.82
Sb 0.0000 0.0000 0.5975  1 Be 2.63, 4 As 2.82
Sb 0.5000 0.5000 0.1206  1 As 2.66, 4 Be 2.82
As 0.5000 0.5000 0.7137  5 Sb 2.66-2.82

Output
D(E_F)	0.895	states/eV per cell
space-group type	No. 25
formation energy (no corrections)	366	meV/atom
magnetization	0.000	μB per atom
polymorph energy (0 for the lowest one)	210	meV per atom
total DFT energy (no corrections)	-3.789	eV/atom


[4]
# YIn2Ag2

A relaxed structure of YIn2Ag2 (GGA-PBE, Alexandria).

a = 8.3675 Å, b = 8.3675 Å, c = 3.2692 Å
α = 90.00°, β = 90.00°, γ = 90.00°
Closest atoms and distances in Å follow each position.
Positions (direct):
Y 0.0000 0.0000 0.0000  4 In 3.27, 2 Y 3.27, 8 Ag 3.52
Y 0.5000 0.5000 0.0000  4 In 3.27, 2 Y 3.27, 8 Ag 3.52
In 0.1329 0.3671 0.0000  6 Ag 2.89-3.00, 1 In 3.14
In 0.3671 0.8671 0.0000  6 Ag 2.89-3.00, 1 In 3.14
In 0.6329 0.1329 0.0000  6 Ag 2.89-3.00, 1 In 3.14
In 0.8671 0.6329 0.0000  6 Ag 2.89-3.00, 1 In 3.14
Ag 0.1656 0.6656 0.5000  6 In 2.89-3.00
Ag 0.3344 0.1656 0.5000  6 In 2.89-3.00
Ag 0.6656 0.8344 0.5000  6 In 2.89-3.00
Ag 0.8344 0.3344 0.5000  6 In 2.89-3.00

Output
D(E_F)	5.932	states/eV per cell
space-group type	No. 127
magnetization	0.115	μB per atom
polymorph energy (0 for the lowest one)	99	meV per atom
total DFT energy (no corrections)	-3.627	eV/atom